[1]
5
Lattice="3.611 0.000 0.000 0.000 3.611 0.000 0.000 0.000 5.255" Properties=species:S:1:pos:R:3 comment="VCuPO2 (PBE with a Hubbard U, relaxed)" spacegroup=P4/mmm relative_energy_ev_per_atom=0.0000 dft_energy_ev_per_atom=-6.007 rho_g_cm3=4.3 pbc="T T T"
V 0.000 0.000 0.000
Cu 1.806 1.806 2.627
P 0.000 0.000 2.627
O 0.000 1.806 0.000
O 1.806 0.000 0.000



[2]
36
Lattice="4.295 2.480 7.004 -4.295 2.480 7.004 0.000 -4.959 7.004" Properties=species:S:1:pos:R:3 comment="V2CuP3O12 (PBE with a Hubbard U, relaxed)" spacegroup=R-3c dft_energy_ev_per_atom=-7.243 rho_g_cm3=3.3 pbc="T T T"
V 0.000 0.000 2.984
V 0.000 0.000 7.521
V 0.000 0.000 13.490
V 0.000 0.000 18.026
Cu 0.000 0.000 0.000
Cu 0.000 0.000 10.505
P -3.047 -0.319 8.754
P -1.248 -2.799 12.256
P 1.800 -2.480 8.754
P -1.800 2.480 12.256
P 1.248 2.799 8.754
P 3.047 0.319 12.256
O -3.450 -1.069 10.032
O -3.686 1.098 8.689
O -2.794 -2.643 12.321
O -0.800 -1.437 6.530
O -0.800 -3.522 10.979
O -1.501 -0.164 8.820
O 0.892 -3.741 8.689
O -0.845 1.411 6.530
O -2.651 2.454 10.979
O -0.609 -1.382 12.191
O 0.892 -1.218 8.820
O -1.644 -0.026 14.481
O 1.644 0.026 6.530
O -0.892 1.218 12.191
O 0.609 1.382 8.820
O 2.651 -2.454 10.032
O 0.845 -1.411 14.481
O -0.892 3.741 12.321
O 1.501 0.164 12.191
O 0.800 3.522 10.032
O 0.800 1.437 14.481
O 2.794 2.643 8.689
O 3.686 -1.098 12.321
O 3.450 1.069 10.979



[3]
5
Lattice="4.516 0.000 0.000 0.000 4.516 0.000 0.000 0.000 3.595" Properties=species:S:1:pos:R:3 comment="VCuP2O (PBE with a Hubbard U, relaxed)" spacegroup=P4/mmm relative_energy_ev_per_atom=0.6419 dft_energy_ev_per_atom=-4.626 rho_g_cm3=4.4 pbc="T T T"
V 0.000 0.000 0.000
Cu 2.258 2.258 1.798
P 0.000 2.258 1.798
P 2.258 0.000 1.798
O 2.258 2.258 0.000



[4]
5
Lattice="4.178 0.000 0.000 0.000 4.178 0.000 0.000 0.000 5.308" Properties=species:S:1:pos:R:3 comment="VCuP2O (PBE with a Hubbard U, relaxed)" spacegroup=P4/mmm relative_energy_ev_per_atom=0.7994 dft_energy_ev_per_atom=-4.469 rho_g_cm3=3.4 pbc="T T T"
V 0.000 0.000 0.000
Cu 0.000 0.000 2.654
P 0.000 2.089 2.654
P 2.089 0.000 2.654
O 2.089 2.089 0.000



[5]
5
Lattice="3.801 0.000 0.000 0.000 3.801 0.000 0.000 0.000 5.141" Properties=species:S:1:pos:R:3 comment="CuPWO2 (PBE with a Hubbard U, relaxed)" spacegroup=P4/mmm relative_energy_ev_per_atom=0.0000 dft_energy_ev_per_atom=-6.063 rho_g_cm3=6.9 pbc="T T T"
Cu 0.000 0.000 0.000
P 1.900 1.900 0.000
W 1.900 1.900 2.570
O 0.000 1.900 2.570
O 1.900 0.000 2.570



[6]
5
Lattice="3.764 0.000 0.000 0.000 3.764 0.000 0.000 0.000 4.766" Properties=species:S:1:pos:R:3 comment="CuPWO2 (PBE with a Hubbard U, relaxed)" spacegroup=P4/mmm relative_energy_ev_per_atom=1.0523 dft_energy_ev_per_atom=-5.011 rho_g_cm3=7.6 pbc="T T T"
Cu 0.000 0.000 0.000
P 0.000 0.000 2.383
W 1.882 1.882 2.383
O 0.000 1.882 0.000
O 1.882 0.000 0.000



Please write out number 1 again, unchanged.
5
Lattice="3.611 0.000 0.000 0.000 3.611 0.000 0.000 0.000 5.255" Properties=species:S:1:pos:R:3 comment="VCuPO2 (PBE with a Hubbard U, relaxed)" spacegroup=P4/mmm relative_energy_ev_per_atom=0.0000 dft_energy_ev_per_atom=-6.007 rho_g_cm3=4.3 pbc="T T T"
V 0.000 0.000 0.000
Cu 1.806 1.806 2.627
P 0.000 0.000 2.627
O 0.000 1.806 0.000
O 1.806 0.000 0.000